# Cs4AgBr2, optimized geometry, DFT PBE-GGA
data_Cs4AgBr2
_chemical_formula_sum 'Cs4 Ag1 Br2'
_space_group_name_H-M_alt 'P 1'
_space_group_IT_number 1
_cell_length_a 10.610
_cell_length_b 10.610
_cell_length_c 10.610
_cell_angle_alpha 141.94
_cell_angle_beta 141.94
_cell_angle_gamma 54.92
loop_
_space_group_symop_operation_xyz
'x,y,z'
loop_
_atom_site_label
_atom_site_type_symbol
_atom_site_fract_x
_atom_site_fract_y
_atom_site_fract_z
Cs1 Cs 0.000 0.500 0.500
Cs2 Cs 0.209 0.209 0.000
Cs3 Cs 0.500 0.000 0.500
Cs4 Cs 0.791 0.791 0.000
Ag1 Ag 0.000 0.000 0.000
Br1 Br 0.391 0.391 0.000
Br2 Br 0.609 0.609 0.000
# - ρ: 2.95 g/cm³
# - Total moment: 0.00 μB/f.u.
# - ΔE_f (raw): -0.84 eV per atom
# - Space-group type: I4/mmm, No. 139
# - Calculated total energy: -15.5 eV for the cell shown

=====

# Pm3Sb2S, optimized geometry, DFT PBE-GGA
data_Pm3Sb2S
_chemical_formula_sum 'Pm3 Sb2 S1'
_space_group_name_H-M_alt 'P 1'
_space_group_IT_number 1
_cell_length_a 9.697
_cell_length_b 9.697
_cell_length_c 9.697
_cell_angle_alpha 153.95
_cell_angle_beta 153.95
_cell_angle_gamma 37.18
loop_
_space_group_symop_operation_xyz
'x,y,z'
loop_
_atom_site_label
_atom_site_type_symbol
_atom_site_fract_x
_atom_site_fract_y
_atom_site_fract_z
Pm1 Pm 0.000 0.000 0.000
Pm2 Pm 0.343 0.343 0.000
Pm3 Pm 0.657 0.657 0.000
Sb1 Sb 0.168 0.168 0.000
Sb2 Sb 0.832 0.832 0.000
S1 S 0.500 0.500 0.000
# - ρ: 6.72 g/cm³
# - Total moment: 0.00 μB/f.u.
# - ΔE_f (raw): -1.41 eV per atom
# - Space-group type: I4/mmm, No. 139
# - Calculated total energy: -35.1 eV for the cell shown

=====

# As2Pd3Rh, optimized geometry, DFT PBE-GGA
data_As2Pd3Rh
_chemical_formula_sum 'As4 Pd6 Rh2'
_space_group_name_H-M_alt 'P 1'
_space_group_IT_number 1
_cell_length_a 7.395
_cell_length_b 7.395
_cell_length_c 7.395
_cell_angle_alpha 135.67
_cell_angle_beta 64.45
_cell_angle_gamma 135.72
loop_
_space_group_symop_operation_xyz
'x,y,z'
loop_
_atom_site_label
_atom_site_type_symbol
_atom_site_fract_x
_atom_site_fract_y
_atom_site_fract_z
As1 As 0.125 0.234 0.360
As2 As 0.375 0.734 0.109
As3 As 0.625 0.266 0.891
As4 As 0.875 0.766 0.640
Pd1 Pd 0.181 0.756 0.937
Pd2 Pd 0.250 0.750 0.500
Pd3 Pd 0.319 0.256 0.574
Pd4 Pd 0.681 0.744 0.426
Pd5 Pd 0.750 0.250 0.500
Pd6 Pd 0.819 0.244 0.063
Rh1 Rh 0.250 0.250 0.000
Rh2 Rh 0.750 0.750 0.000
# - ρ: 9.76 g/cm³
# - Total moment: 0.00 μB/f.u.
# - Space-group type: Ibam, No. 72
# - Calculated total energy: -68.9 eV for the cell shown
# - Calculated formation energy: -2.2 eV/f.u.

=====

# AlSbMoI2, optimized geometry, DFT PBE-GGA
data_AlSbMoI2
_chemical_formula_sum 'Al1 Sb1 Mo1 I2'
_space_group_name_H-M_alt 'P 1'
_space_group_IT_number 1
_cell_length_a 5.453
_cell_length_b 5.453
_cell_length_c 5.494
_cell_angle_alpha 90.00
_cell_angle_beta 90.00
_cell_angle_gamma 90.00
loop_
_space_group_symop_operation_xyz
'x,y,z'
loop_
_atom_site_label
_atom_site_type_symbol
_atom_site_fract_x
_atom_site_fract_y
_atom_site_fract_z
Al1 Al 0.000 0.000 0.000
Sb1 Sb 0.000 0.000 0.500
Mo1 Mo 0.500 0.500 0.500
I1 I 0.000 0.500 0.000
I2 I 0.500 0.000 0.000
# - ρ: 5.07 g/cm³
# - Total moment: 3.73 μB/f.u.
# - ΔE_f (raw): 0.96 eV per atom
# - Space-group type: P4/mmm, No. 123
# - Calculated total energy: -17.0 eV for the cell shown

=====

# BaMgOs, optimized geometry, DFT PBE-GGA
data_BaMgOs
_chemical_formula_sum 'Ba1 Mg1 Os1'
_space_group_name_H-M_alt 'P 1'
_space_group_IT_number 1
_cell_length_a 4.865
_cell_length_b 4.865
_cell_length_c 4.865
_cell_angle_alpha 60.00
_cell_angle_beta 60.00
_cell_angle_gamma 60.00
loop_
_space_group_symop_operation_xyz
'x,y,z'
loop_
_atom_site_label
_atom_site_type_symbol
_atom_site_fract_x
_atom_site_fract_y
_atom_site_fract_z
Ba1 Ba 0.000 0.000 0.000
Mg1 Mg 0.500 0.500 0.500
Os1 Os 0.250 0.250 0.250
# - ρ: 7.17 g/cm³
# - Total moment: 0.00 μB/f.u.
# - Space-group type: F-43m, No. 216
# - Calculated total energy: -12.4 eV for the cell shown
# - Calculated formation energy: 2.4 eV/f.u.

=====

# TiAsSN2, optimized geometry, DFT PBE-GGA
data_TiAsSN2
_chemical_formula_sum 'Ti1 As1 S1 N2'
_space_group_name_H-M_alt 'P 1'
_space_group_IT_number 1
_cell_length_a 3.735
_cell_length_b 3.735
_cell_length_c 4.831
_cell_angle_alpha 90.00
_cell_angle_beta 90.00
_cell_angle_gamma 90.00
loop_
_space_group_symop_operation_xyz
'x,y,z'
loop_
_atom_site_label
_atom_site_type_symbol
_atom_site_fract_x
_atom_site_fract_y
_atom_site_fract_z
Ti1 Ti 0.000 0.000 0.000
As1 As 0.500 0.500 0.500
S1 S 0.500 0.500 0.000
N1 N 0.000 0.500 0.500
N2 N 0.500 0.000 0.500
# - ρ: 4.51 g/cm³
# - Total moment: 1.04 μB/f.u.
# - ΔE_f (raw): 0.81 eV per atom
# - Space-group type: P4/mmm, No. 123
# - Calculated total energy: -29.3 eV for the cell shown

=====

# SrCa3Co, optimized geometry, DFT PBE-GGA
data_SrCa3Co
_chemical_formula_sum 'Sr2 Ca6 Co2'
_space_group_name_H-M_alt 'P 1'
_space_group_IT_number 1
_cell_length_a 9.722
_cell_length_b 4.071
_cell_length_c 10.119
_cell_angle_alpha 90.00
_cell_angle_beta 111.92
_cell_angle_gamma 90.00
loop_
_space_group_symop_operation_xyz
'x,y,z'
loop_
_atom_site_label
_atom_site_type_symbol
_atom_site_fract_x
_atom_site_fract_y
_atom_site_fract_z
Sr1 Sr 0.144 0.250 0.417
Sr2 Sr 0.856 0.750 0.583
Ca1 Ca 0.172 0.750 0.094
Ca2 Ca 0.232 0.250 0.831
Ca3 Ca 0.495 0.750 0.739
Ca4 Ca 0.505 0.250 0.261
Ca5 Ca 0.768 0.750 0.169
Ca6 Ca 0.828 0.250 0.906
Co1 Co 0.460 0.750 0.016
Co2 Co 0.540 0.250 0.984
# - ρ: 2.38 g/cm³
# - Total moment: 0.72 μB/f.u.
# - Space-group type: P2_1/m, No. 11
# - Calculated total energy: -29.0 eV for the cell shown
# - Calculated formation energy: 0.3 eV/f.u.

=====

# CaMg2Al, optimized geometry, DFT PBE-GGA
data_CaMg2Al
_chemical_formula_sum 'Ca1 Mg2 Al1'
_space_group_name_H-M_alt 'P 1'
_space_group_IT_number 1
_cell_length_a 3.546
_cell_length_b 3.546
_cell_length_c 7.932
_cell_angle_alpha 90.00
_cell_angle_beta 90.00
_cell_angle_gamma 90.00
loop_
_space_group_symop_operation_xyz
'x,y,z'
loop_
_atom_site_label
_atom_site_type_symbol
_atom_site_fract_x
_atom_site_fract_y
_atom_site_fract_z
Ca1 Ca 0.000 0.000 0.000
Mg1 Mg 0.500 0.500 0.297
Mg2 Mg 0.500 0.500 0.703
Al1 Al 0.000 0.000 0.500
# - ρ: 1.93 g/cm³
# - Total moment: 0.00 μB/f.u.
# - Space-group type: P4/mmm, No. 123
# - Calculated total energy: -9.0 eV for the cell shown
# - Calculated formation energy: -0.1 eV/f.u.

=====

# RbBePb2, optimized geometry, DFT PBE-GGA
data_RbBePb2
_chemical_formula_sum 'Rb2 Be2 Pb4'
_space_group_name_H-M_alt 'P 1'
_space_group_IT_number 1
_cell_length_a 9.082
_cell_length_b 9.082
_cell_length_c 9.082
_cell_angle_alpha 139.61
_cell_angle_beta 139.61
_cell_angle_gamma 58.45
loop_
_space_group_symop_operation_xyz
'x,y,z'
loop_
_atom_site_label
_atom_site_type_symbol
_atom_site_fract_x
_atom_site_fract_y
_atom_site_fract_z
Rb1 Rb 0.375 0.625 0.750
Rb2 Rb 0.625 0.375 0.250
Be1 Be 0.125 0.875 0.250
Be2 Be 0.875 0.125 0.750
Pb1 Pb 0.000 0.000 0.000
Pb2 Pb 0.000 0.000 0.500
Pb3 Pb 0.000 0.500 0.000
Pb4 Pb 0.500 0.000 0.500
# - ρ: 5.42 g/cm³
# - Total moment: 0.00 μB/f.u.
# - Space-group type: I4_1/amd, No. 141
# - Calculated total energy: -21.5 eV for the cell shown
# - Calculated formation energy: 1.3 eV/f.u.

=====

# TiBeHg, optimized geometry, DFT PBE-GGA
data_TiBeHg
_chemical_formula_sum 'Ti2 Be2 Hg2'
_space_group_name_H-M_alt 'P 1'
_space_group_IT_number 1
_cell_length_a 4.260
_cell_length_b 4.260
_cell_length_c 5.924
_cell_angle_alpha 90.00
_cell_angle_beta 90.00
_cell_angle_gamma 120.00
loop_
_space_group_symop_operation_xyz
'x,y,z'
loop_
_atom_site_label
_atom_site_type_symbol
_atom_site_fract_x
_atom_site_fract_y
_atom_site_fract_z
Ti1 Ti 0.000 0.000 0.000
Ti2 Ti 0.000 0.000 0.500
Be1 Be 0.333 0.667 0.250
Be2 Be 0.667 0.333 0.750
Hg1 Hg 0.333 0.667 0.750
Hg2 Hg 0.667 0.333 0.250
# - ρ: 9.18 g/cm³
# - Total moment: 0.49 μB/f.u.
# - Space-group type: P6_3/mmc, No. 194
# - Calculated total energy: -23.6 eV for the cell shown
# - Calculated formation energy: 0.1 eV/f.u.

=====

# ScAlSb2, optimized geometry, DFT PBE-GGA
data_ScAlSb2
_chemical_formula_sum 'Sc1 Al1 Sb2'
_space_group_name_H-M_alt 'P 1'
_space_group_IT_number 1
_cell_length_a 10.553
_cell_length_b 10.553
_cell_length_c 10.553
_cell_angle_alpha 18.04
_cell_angle_beta 18.04
_cell_angle_gamma 18.04
loop_
_space_group_symop_operation_xyz
'x,y,z'
loop_
_atom_site_label
_atom_site_type_symbol
_atom_site_fract_x
_atom_site_fract_y
_atom_site_fract_z
Sc1 Sc 0.000 0.000 0.000
Al1 Al 0.500 0.500 0.500
Sb1 Sb 0.256 0.256 0.256
Sb2 Sb 0.744 0.744 0.744
# - ρ: 5.32 g/cm³
# - Total moment: 0.00 μB/f.u.
# - ΔE_f (raw): -0.05 eV per atom
# - Space-group type: R-3m, No. 166
# - Calculated total energy: -18.5 eV for the cell shown

=====

# LaTm2Au, optimized geometry, DFT PBE-GGA
data_LaTm2Au
_chemical_formula_sum 'La1 Tm2 Au1'
_space_group_name_H-M_alt 'P 1'
_space_group_IT_number 1
_cell_length_a 10.157
_cell_length_b 10.157
_cell_length_c 10.157
_cell_angle_alpha 21.23
_cell_angle_beta 21.23
_cell_angle_gamma 21.23
loop_
_space_group_symop_operation_xyz
'x,y,z'
loop_
_atom_site_label
_atom_site_type_symbol
_atom_site_fract_x
_atom_site_fract_y
_atom_site_fract_z
La1 La 0.000 0.000 0.000
Tm1 Tm 0.233 0.233 0.233
Tm2 Tm 0.767 0.767 0.767
Au1 Au 0.500 0.500 0.500
# - ρ: 9.30 g/cm³
# - Total moment: 0.00 μB/f.u.
# - Space-group type: R-3m, No. 166
# - Calculated total energy: -18.3 eV for the cell shown
# - Calculated formation energy: -1.2 eV/f.u.

=====

Q: total moment of number 11 (ScAlSb2)?
A: 0.00 μB/f.u.

=====

Q: Among the records above, which one has the highest ρ?
A: As2Pd3Rh